! Cs4Pm3ThS8 | Alexandria via LeMat-Bulk | PBE | optimized geometry; values from VASP
! - DOS(E_F): 4.37 states/eV per cell
! - Crystal system: trigonal
! - Formation energy from raw total energies: -1.783 eV per atom
&SYSTEM
  ibrav = 0, nat = 16, ntyp = 4
/
ATOMIC_SPECIES
Pm 145.00 Pm.upf
S 32.06 S.upf
Cs 132.91 Cs.upf
Th 232.04 Th.upf
CELL_PARAMETERS angstrom
8.413 0.000 0.000
0.000 9.424 0.705
-4.207 -4.203 5.952
ATOMIC_POSITIONS angstrom
Pm 2.103 2.611 3.328
Pm 4.207 4.712 0.352
Pm -2.103 2.611 3.328
S 4.207 0.658 3.479
S 6.341 2.790 0.459
S 4.207 4.543 3.207
S 0.000 4.564 3.178
S 0.000 0.678 3.449
S 2.134 2.431 6.198
S -2.134 2.431 6.198
S 2.072 2.790 0.459
Cs 2.103 -2.101 2.976
Cs 0.000 0.000 0.000
Cs -2.103 -2.101 2.976
Cs 4.207 0.000 0.000
Th 0.000 4.712 0.352

=====

! InAg2TeO6 | Alexandria via LeMat-Bulk | PBE | optimized geometry; values from VASP
! - DOS(E_F): 13.13 states/eV per cell
! - Crystal system: monoclinic
! - Formation energy from raw total energies: -0.726 eV per atom
&SYSTEM
  ibrav = 0, nat = 20, ntyp = 4
/
ATOMIC_SPECIES
Ag 107.87 Ag.upf
O 16.00 O.upf
In 114.82 In.upf
Te 127.60 Te.upf
CELL_PARAMETERS angstrom
5.554 0.000 -0.018
0.000 5.700 0.000
0.023 0.000 8.089
ATOMIC_POSITIONS angstrom
Ag 2.857 3.164 6.116
Ag 0.069 5.387 2.081
Ag 2.720 2.537 1.955
Ag 5.508 0.314 5.991
O 1.033 1.273 0.546
O 4.353 4.590 4.453
O 4.013 1.740 7.654
O 1.564 3.961 0.417
O 4.544 4.427 7.525
O 1.755 4.124 3.489
O 0.643 2.561 6.211
O 4.934 3.139 1.860
O 1.224 1.111 3.619
O 3.408 0.289 2.158
O 3.821 1.577 4.582
O 2.169 5.412 5.914
In 0.012 2.850 4.045
In 2.777 0.000 -0.009
Te 2.788 0.000 4.036
Te 0.000 2.850 0.000

=====

! CsIn6Pt3 | Alexandria via LeMat-Bulk | PBE | optimized geometry; values from VASP
! - DOS(E_F): 5.20 states/eV per cell
! - Crystal system: triclinic
! - ΔE_f: -254.8 meV/atom
&SYSTEM
  ibrav = 0, nat = 10, ntyp = 3
/
ATOMIC_SPECIES
In 114.82 In.upf
Pt 195.08 Pt.upf
Cs 132.91 Cs.upf
CELL_PARAMETERS angstrom
-3.179 -3.521 -5.227
6.059 -2.606 2.508
-2.932 -0.070 6.815
ATOMIC_POSITIONS angstrom
In 2.314 -3.529 5.450
In -2.382 -3.957 1.545
In -2.710 -3.089 -2.451
In 3.255 -2.391 2.697
In 0.232 -2.721 0.018
In -0.314 -2.215 4.268
Pt -1.315 -1.456 1.856
Pt -2.888 -3.239 4.155
Pt 2.951 -2.978 0.026
Cs 0.598 -5.409 2.918

=====

! Th5Bi5H2 | Alexandria via LeMat-Bulk | PBE | optimized geometry; values from VASP
! - DOS(E_F): 10.22 states/eV per cell
! - Crystal system: monoclinic
&SYSTEM
  ibrav = 0, nat = 12, ntyp = 3
/
ATOMIC_SPECIES
Bi 208.98 Bi.upf
Th 232.04 Th.upf
H 1.01 H.upf
CELL_PARAMETERS angstrom
-1.562 -3.843 1.531
5.763 1.241 2.606
-5.799 5.894 8.877
ATOMIC_POSITIONS angstrom
Bi 0.108 -1.424 2.921
Bi -1.609 3.351 6.769
Bi -3.680 1.025 5.204
Bi 0.011 -0.059 6.246
Bi -1.706 4.715 10.093
Th 0.000 0.000 0.000
Th -4.171 2.733 8.989
Th -1.047 1.848 3.571
Th -0.551 1.443 9.443
Th 2.573 0.559 4.025
H 2.689 -1.463 5.455
H -4.286 4.754 7.559

=====

Final energy for the records above, in order: -0.3980 -0.3571 -0.2790 -0.4201 Ry per atom